Entry i
# Hf2CuAg

A relaxed Hf2CuAg crystal (PBE, OQMD).

Results
The symmetry is F-43m, No. 216. As for the magnetization: 1.92 μB per formula unit.

```
Hf2CuAg
1.0
-4.484 -0.575 1.301
-3.167 -1.568 -3.105
-1.784 -4.330 0.443
Ag Cu Hf
1 1 2
direct
0.500 0.500 0.500
0.750 0.750 0.750
0.000 0.000 0.000
0.250 0.250 0.250
```

Entry ii
# Hf2CuAg

A relaxed Hf2CuAg crystal (PBE, OQMD).

Results
The symmetry is P4mm, No. 99. As for the magnetization: 0.00 μB per formula unit.

```
Hf2CuAg
1.0
3.354 0.000 0.000
0.000 3.354 0.000
0.000 0.000 6.523
Ag Cu Hf
1 1 2
direct
0.000 0.000 0.602
0.500 0.500 0.382
0.000 0.000 0.155
0.500 0.500 0.861
```

Relative to the most stable structure, the computed energies are entry i 447; entry ii 0, all in meV/atom.

Entry i
# HfCuAg

A relaxed HfCuAg crystal (PBE, OQMD).

Results
The symmetry is P4/mmm, No. 123. As for the magnetization: 0.09 μB per formula unit.

```
HfCuAg
1.0
-1.345 -0.010 -3.122
-1.272 -3.103 0.557
-7.387 3.597 3.171
Ag Cu Hf
2 2 2
direct
0.500 0.500 0.183
0.500 0.500 0.817
0.000 0.000 0.338
0.000 0.000 0.662
0.000 0.000 0.000
0.500 0.500 0.500
```

Entry ii
# HfCuAg

A relaxed HfCuAg crystal (PBE, OQMD).

Results
The symmetry is F-43m, No. 216. As for the magnetization: 0.32 μB per formula unit.

```
HfCuAg
1.0
0.600 1.376 4.046
3.207 2.745 0.892
-0.890 4.092 1.042
Ag Cu Hf
1 1 1
direct
0.250 0.250 0.250
0.000 0.000 0.000
0.750 0.750 0.750
```

Entry iii
# HfCuAg

A relaxed HfCuAg crystal (PBE, OQMD).

Results
The symmetry is P4/nmm, No. 129. As for the magnetization: 0.00 μB per formula unit.

```
HfCuAg
1.0
-2.624 -0.996 -1.940
-1.699 -0.970 2.796
-3.505 7.983 0.641
Ag Cu Hf
2 2 2
direct
0.000 0.500 0.085
0.500 0.000 0.915
0.000 0.500 0.428
0.500 0.000 0.572
0.500 0.000 0.268
0.000 0.500 0.732
```

Entry iv
# HfCuAg

A relaxed HfCuAg crystal (PBE, OQMD).

Results
The symmetry is F-43m, No. 216. As for the magnetization: 0.00 μB per formula unit.

```
HfCuAg
1.0
0.000 3.139 3.139
3.139 0.000 3.139
3.139 3.139 0.000
Ag Cu Hf
1 1 1
direct
0.250 0.250 0.250
0.750 0.750 0.750
0.000 0.000 0.000
```

Relative to the most stable structure, the computed energies are entry i 7; entry ii 285; entry iii 0; entry iv 594, all in meV/atom.